Entry from Alexandria: a crystal of KHgSb2 relaxed with PBEsol (SCAN).

Results
The value obtained for the formation energy (no corrections) is -256 meV per atom. For the electronic total energy, the calculation gives -2.7937 Ry per atom. Its crystal system is tetragonal.

Unit cell a=3.9666 b=3.9666 c=7.7825 alpha=90.00 beta=90.00 gamma=90.00
Fractional coordinates of all 4 atoms:
K  0.0000  0.0000  0.0000
Hg  0.5000  0.5000  0.7337
Sb  0.0000  0.0000  0.4773
Sb  0.5000  0.5000  0.3255



Entry from Alexandria: a crystal of KHg2Se relaxed with PBEsol (SCAN).

Results
The value obtained for the formation energy (no corrections) is -371 meV per atom. For the electronic total energy, the calculation gives -3.0543 Ry per atom. Its crystal system is tetragonal.

Unit cell a=3.7998 b=3.7998 c=7.4498 alpha=90.00 beta=90.00 gamma=90.00
Fractional coordinates of all 4 atoms:
K  0.0000  0.0000  0.0000
Hg  0.0000  0.0000  0.4514
Hg  0.5000  0.5000  0.6851
Se  0.5000  0.5000  0.2797